[1]
VASP calculation (GGA-PBE) on a geometry-optimized ZrBiAs3 structure.

Unit cell a=5.2744 b=5.2744 c=5.2744 alpha=90.00 beta=90.00 gamma=90.00
With the nearest neighbours (Å) after each atom.
Fractional positions:
As  0.0000  0.0000  0.5000  2 Bi 2.64
As  0.5000  0.0000  0.0000  2 Bi 2.64
As  0.0000  0.5000  0.0000  2 Bi 2.64
Zr  0.5000  0.5000  0.5000  12 As 3.73
Bi  0.0000  0.0000  0.0000  6 As 2.64

ΔE to the lowest computed polymorph: 857 meV per atom
VASP energy: -4.20 eV per atom
Symmetry: No. 221
V: 29.35 Å³ per atom
Formation energy: 1.080 eV per atom

---

[2]
VASP calculation (GGA-PBE) on a geometry-optimized TaNbTeN2 structure.

Unit cell a=4.0497 b=4.0497 c=5.5551 alpha=90.00 beta=90.00 gamma=90.00
With the nearest neighbours (Å) after each atom.
Fractional positions:
Nb  0.0000  0.0000  0.0000  4 N 2.02
N  0.5000  0.0000  0.0000  2 Nb 2.02
N  0.0000  0.5000  0.0000  2 Nb 2.02
Te  0.0000  0.0000  0.5000  2 Nb 2.78, 4 Ta 2.86
Ta  0.5000  0.5000  0.5000  4 Te 2.86

ΔE to the lowest computed polymorph: 357 meV per atom
E_form (uncorrected): 0.91 eV per atom
VASP energy: -7.44 eV per atom
Symmetry: No. 123
V: 18.22 Å³ per atom

---

[3]
VASP calculation (GGA-PBE) on a geometry-optimized Pu2SiH structure.

Unit cell a=5.2051 b=5.2051 c=6.8106 alpha=90.00 beta=90.00 gamma=120.00
With the nearest neighbours (Å) after each atom.
Fractional positions:
Pu  0.2130  0.6146  0.3494  2 H 2.13-2.32
Pu  0.7870  0.4016  0.9839  2 H 2.13-2.32
Pu  0.3854  0.5984  0.6828  2 H 2.13-2.32
Pu  0.4016  0.7870  0.0161  2 H 2.13-2.32
Pu  0.6146  0.2130  0.6506  2 H 2.13-2.32
Pu  0.5984  0.3854  0.3172  2 H 2.13-2.32
Si  0.8336  0.0000  0.3333  2 H 2.06
Si  0.1664  0.1664  0.0000  2 H 2.06
Si  0.0000  0.8336  0.6667  2 H 2.06
H  0.7853  0.0000  0.8333  2 Si 2.06, 2 Pu 2.13
H  0.0000  0.7853  0.1667  2 Si 2.06, 2 Pu 2.13
H  0.2147  0.2147  0.5000  2 Si 2.06, 2 Pu 2.13

ΔE to the lowest computed polymorph: 390 meV per atom
VASP energy: -9.15 eV per atom
Symmetry: No. 152
V: 13.32 Å³ per atom

---

Q: V of number 3 (Pu2SiH)?
A: 13.32 Å³ per atom